{"formula": "Tb6Sm4Er", "functional": "GGA-PBE", "state": "relaxed", "cell": [[2.899, -4.818, 0.000], [2.899, 4.818, 0.000], [0.000, 0.000, 25.638]], "species": ["Tb", "Tb", "Tb", "Tb", "Tb", "Tb", "Tb", "Tb", "Tb", "Tb", "Tb", "Tb", "Sm", "Sm", "Sm", "Sm", "Sm", "Sm", "Sm", "Sm", "Er", "Er"], "fractional_positions": [[0.000, 0.000, 0.000], [0.000, 0.000, 0.500], [0.037, 0.963, 0.750], [0.301, 0.699, 0.106], [0.301, 0.699, 0.394], [0.369, 0.631, 0.683], [0.369, 0.631, 0.817], [0.631, 0.369, 0.183], [0.631, 0.369, 0.317], [0.699, 0.301, 0.606], [0.699, 0.301, 0.894], [0.963, 0.037, 0.250], [0.042, 0.958, 0.622], [0.042, 0.958, 0.878], [0.349, 0.651, 0.544], [0.349, 0.651, 0.956], [0.651, 0.349, 0.044], [0.651, 0.349, 0.456], [0.958, 0.042, 0.122], [0.958, 0.042, 0.378], [0.299, 0.701, 0.250], [0.701, 0.299, 0.750]], "polymorph_energy_ev_per_atom": 0.000, "dos_ef_per_ev_fu": 19.91, "delta_e_f_mev_per_atom": 124, "e_tot_ev_per_atom": -4.53, "magmom_total_mub_per_cell": 0.0, "vol_a3_per_atom": 32.55, "sg": "Cmcm, No. 63"}

=====

{"formula": "FeAgPt6", "functional": "GGA-PBE", "state": "relaxed", "cell": [[3.968, 0.000, 0.000], [0.000, 3.968, 0.000], [0.000, 0.000, 7.878]], "species": ["Fe", "Ag", "Pt", "Pt", "Pt", "Pt", "Pt", "Pt"], "fractional_positions": [[0.000, 0.000, 0.000], [0.000, 0.000, 0.500], [0.000, 0.500, 0.239], [0.000, 0.500, 0.761], [0.500, 0.000, 0.239], [0.500, 0.000, 0.761], [0.500, 0.500, 0.000], [0.500, 0.500, 0.500]], "dos_ef_per_ev_fu": 9.39, "delta_e_f_mev_per_atom": -103, "e_tot_ev_per_atom": -6.05, "magmom_total_mub_per_cell": 4.4, "vol_a3_per_atom": 15.51, "sg": "P4/mmm, No. 123"}

=====

{"formula": "CoRuN2", "functional": "GGA-PBE", "state": "relaxed", "cell": [[2.729, 0.000, 0.000], [-1.365, 2.363, 0.000], [0.000, 0.000, 18.350]], "species": ["Co", "Co", "Co", "Ru", "Ru", "Ru", "N", "N", "N", "N", "N", "N"], "fractional_positions": [[0.000, 0.000, 0.000], [0.333, 0.667, 0.667], [0.667, 0.333, 0.333], [0.000, 0.000, 0.500], [0.333, 0.667, 0.167], [0.667, 0.333, 0.833], [0.000, 0.000, 0.395], [0.000, 0.000, 0.605], [0.333, 0.667, 0.062], [0.333, 0.667, 0.272], [0.667, 0.333, 0.728], [0.667, 0.333, 0.938]], "polymorph_energy_ev_per_atom": 0.340, "dos_ef_per_ev_fu": 3.05, "formation_energy_uncorrected_mev_per_atom": 508, "e_tot_ev_per_atom": -7.75, "magmom_total_mub_per_cell": 0.0, "vol_a3_per_atom": 9.86, "sg": "R-3m, No. 166"}

=====

{"formula": "AcPm2Au", "functional": "GGA-PBE", "state": "relaxed", "cell": [[4.008, 0.000, 0.000], [-2.004, 3.471, 0.000], [0.000, 0.000, 30.221]], "species": ["Ac", "Ac", "Ac", "Pm", "Pm", "Pm", "Pm", "Pm", "Pm", "Au", "Au", "Au"], "fractional_positions": [[0.000, 0.000, 0.000], [0.333, 0.667, 0.667], [0.667, 0.333, 0.333], [0.000, 0.000, 0.563], [0.000, 0.000, 0.768], [0.333, 0.667, 0.229], [0.333, 0.667, 0.435], [0.667, 0.333, 0.102], [0.667, 0.333, 0.896], [0.000, 0.000, 0.165], [0.333, 0.667, 0.832], [0.667, 0.333, 0.498]], "polymorph_energy_ev_per_atom": 0.126, "dos_ef_per_ev_fu": 5.15, "delta_e_f_mev_per_atom": -263, "e_tot_ev_per_atom": -4.48, "magmom_total_mub_per_cell": 0.0, "vol_a3_per_atom": 35.03, "sg": "R3m, No. 160"}

=====

{"formula": "RbTa2BeAs", "functional": "GGA-PBE", "state": "relaxed", "cell": [[4.862, 0.000, 0.000], [0.000, 4.862, 0.000], [0.000, 0.000, 5.958]], "species": ["Rb", "Ta", "Ta", "Be", "As"], "fractional_positions": [[0.000, 0.000, 0.000], [0.000, 0.500, 0.500], [0.500, 0.000, 0.500], [0.500, 0.500, 0.000], [0.000, 0.000, 0.500]], "dos_ef_per_ev_fu": 4.09, "delta_e_f_mev_per_atom": 1587, "e_tot_ev_per_atom": -5.02, "magmom_total_mub_per_cell": 1.4, "vol_a3_per_atom": 28.17, "sg": "P4/mmm, No. 123"}

=====

{"formula": "Th3InTc2", "functional": "GGA-PBE", "state": "relaxed", "cell": [[4.155, 0.000, 0.000], [0.000, 4.860, 0.000], [0.000, 0.000, 14.804]], "species": ["Th", "Th", "Th", "Th", "Th", "Th", "In", "In", "Tc", "Tc", "Tc", "Tc"], "fractional_positions": [[0.000, 0.000, 0.000], [0.000, 0.500, 0.187], [0.000, 0.500, 0.813], [0.500, 0.000, 0.313], [0.500, 0.000, 0.687], [0.500, 0.500, 0.500], [0.000, 0.000, 0.500], [0.500, 0.500, 0.000], [0.000, 0.500, 0.362], [0.000, 0.500, 0.638], [0.500, 0.000, 0.138], [0.500, 0.000, 0.862]], "polymorph_energy_ev_per_atom": 0.000, "dos_ef_per_ev_fu": 5.23, "delta_e_f_mev_per_atom": -163, "e_tot_ev_per_atom": -7.78, "magmom_total_mub_per_cell": 0.0, "vol_a3_per_atom": 24.91, "sg": "Immm, No. 71"}

=====

{"formula": "Li2SiGe", "functional": "GGA-PBE", "state": "relaxed", "cell": [[2.682, 0.000, 0.000], [0.000, 2.682, 0.000], [0.000, 0.000, 8.321]], "species": ["Li", "Li", "Si", "Ge"], "fractional_positions": [[0.000, 0.000, 0.245], [0.000, 0.000, 0.755], [0.500, 0.500, 0.000], [0.500, 0.500, 0.500]], "polymorph_energy_ev_per_atom": 0.000, "dos_ef_per_ev_fu": 0.32, "formation_energy_uncorrected_mev_per_atom": -229, "e_tot_ev_per_atom": -3.70, "magmom_total_mub_per_cell": 0.0, "vol_a3_per_atom": 14.96, "sg": "P4/mmm, No. 123"}

=====

{"formula": "AcPr2Th3As6", "functional": "GGA-PBE", "state": "relaxed", "cell": [[9.423, -2.158, 0.000], [9.423, 2.158, 0.000], [-2.013, 0.000, 8.404]], "species": ["Ac", "Pr", "Pr", "Th", "Th", "Th", "As", "As", "As", "As", "As", "As"], "fractional_positions": [[0.000, 0.000, 0.000], [0.332, 0.332, 0.665], [0.668, 0.668, 0.335], [0.000, 0.000, 0.500], [0.334, 0.334, 0.169], [0.666, 0.666, 0.831], [0.165, 0.165, 0.586], [0.171, 0.171, 0.080], [0.499, 0.499, 0.262], [0.501, 0.501, 0.738], [0.829, 0.829, 0.920], [0.835, 0.835, 0.414]], "dos_ef_per_ev_fu": 5.48, "delta_e_f_mev_per_atom": -1454, "e_tot_ev_per_atom": -6.77, "magmom_total_mub_per_cell": 0.0, "vol_a3_per_atom": 28.48, "sg": "C2/m, No. 12"}